Sc11In9Ir4: relaxed, PBE.

Lattice parameters (Å, degrees): 12.6098 12.6098 3.4378 90.00 90.00 112.35
With the nearest neighbours (Å) after each atom.
Atoms (fractional coordinates):
Sc 0.0000 0.0000 0.0000  8 In 3.06, 2 Sc 3.33
Sc 0.0777 0.4166 0.0000  2 Ir 2.64
Sc 0.1591 0.8409 0.0000  8 In 3.11-3.21, 5 Sc 3.33-3.48
Sc 0.3115 0.3115 0.0000  4 Ir 2.79
Sc 0.3734 0.6266 0.0000  4 Ir 2.79
Sc 0.4166 0.0777 0.0000  2 Ir 2.64
Sc 0.5834 0.9223 0.0000  2 Ir 2.64
Sc 0.6266 0.3734 0.0000  4 Ir 2.79
Sc 0.6885 0.6885 0.0000  4 Ir 2.79
Sc 0.8409 0.1591 0.0000  8 In 3.11-3.21, 5 Sc 3.33-3.48
Sc 0.9223 0.5834 0.0000  2 Ir 2.64
In 0.0708 0.2162 0.5000  1 Ir 2.93, 6 Sc 3.03-3.21, 1 In 3.05
In 0.1528 0.6330 0.5000  1 Ir 2.96, 1 In 3.01, 8 Sc 3.05-3.30
In 0.2162 0.0708 0.5000  1 Ir 2.93, 6 Sc 3.03-3.21, 1 In 3.05
In 0.3670 0.8472 0.5000  1 Ir 2.96, 1 In 3.01, 8 Sc 3.05-3.30
In 0.5000 0.5000 0.5000  4 Ir 3.02, 8 Sc 3.15-3.16
In 0.6330 0.1528 0.5000  1 Ir 2.96, 1 In 3.01, 8 Sc 3.05-3.30
In 0.7838 0.9292 0.5000  1 Ir 2.93, 6 Sc 3.03-3.21, 1 In 3.05
In 0.8472 0.3670 0.5000  1 Ir 2.96, 1 In 3.01, 8 Sc 3.05-3.30
In 0.9292 0.7838 0.5000  1 Ir 2.93, 6 Sc 3.03-3.21, 1 In 3.05
Ir 0.2460 0.4497 0.5000  6 Sc 2.64-2.79, 1 In 2.93
Ir 0.4497 0.2460 0.5000  6 Sc 2.64-2.79, 1 In 2.93
Ir 0.5503 0.7540 0.5000  6 Sc 2.64-2.79, 1 In 2.93
Ir 0.7540 0.5503 0.5000  6 Sc 2.64-2.79, 1 In 2.93

Computed properties:
Formation enthalpy at 0 K   -650 meV per atom
Space group   Cmmm, No. 65